No. 1
GdPuAl2 PBE-GGA relaxed; SG = P4/mmm; electronic total energy = -9.183 eV/atom
1.0
-2.174 3.617 0.925
-0.867 -1.613 4.272
3.921 1.964 1.538
Gd Al Pu
1 2 1
direct
0.500 0.500 0.500
0.000 0.000 0.500
0.000 0.500 0.000
0.500 0.000 0.000



No. 2
Li2ErGa2Si2 PBE-GGA relaxed; SG = R-3m; formation energy without anion corrections = -0.33 eV per atom
1.0
4.238 0.000 0.000
2.119 3.670 0.000
2.119 1.223 7.660
Li Er Ga Si
2 1 2 2
direct
0.143 0.143 0.572
0.857 0.857 0.428
0.000 0.000 0.000
0.563 0.563 0.312
0.437 0.437 0.688
0.741 0.741 0.777
0.259 0.259 0.223



No. 3
Er6Te3P2S PBE-GGA relaxed; SG = C2/m; formation energy without anion corrections = -1.56 eV per atom
1.0
4.065 0.000 0.000
0.000 8.387 0.100
-2.032 -2.621 8.721
Er Te P S
6 3 2 1
direct
0.341 0.891 0.683
0.676 0.559 0.353
0.659 0.109 0.317
0.011 0.227 0.021
0.989 0.773 0.979
0.324 0.441 0.647
0.500 0.500 0.000
0.834 0.167 0.669
0.166 0.833 0.331
0.834 0.668 0.667
0.166 0.332 0.333
0.500 0.000 0.000



No. 4
Lu2TaCd PBE-GGA relaxed; SG = R-3m; electronic total energy = -4.962 eV/atom
1.0
3.131 0.000 0.000
1.565 2.712 0.000
1.565 0.904 11.425
Lu Ta Cd
2 1 1
direct
0.086 0.086 0.741
0.914 0.914 0.259
0.000 0.000 0.000
0.500 0.500 0.500



No. 5
Dy2SiSe PBE-GGA relaxed; SG = R3m; formation energy without anion corrections = -1.19 eV per atom
1.0
4.057 0.000 0.000
2.029 3.514 0.000
2.029 1.171 7.081
Dy Si Se
2 1 1
direct
0.077 0.077 0.770
0.257 0.257 0.228
0.668 0.668 0.997
0.498 0.498 0.505



No. 6
Sc2RuICl PBE-GGA relaxed; SG = P4/mmm; formation energy without anion corrections = 0.60 eV per atom
1.0
5.428 0.000 0.000
0.000 4.754 0.000
0.000 0.000 5.428
I Ru Sc Cl
1 1 2 1
direct
0.000 0.000 0.000
0.000 0.500 0.000
0.000 0.000 0.500
0.500 0.000 0.000
0.500 0.500 0.500



No. 7
BeOs PBE-GGA relaxed; SG = I4_1/amd; electronic total energy = -7.390 eV/atom
1.0
4.316 0.013 0.000
1.068 4.182 0.000
-2.692 -2.098 2.642
Be Os
2 2
direct
0.000 0.000 0.000
0.250 0.750 0.500
0.500 0.500 0.000
0.750 0.250 0.500



No. 8
HfInAu PBE-GGA relaxed; SG = Cm; electronic total energy = -5.579 eV/atom
1.0
7.141 0.000 0.009
0.745 3.178 -0.002
-0.946 1.903 5.568
Hf Au In
2 2 2
direct
0.635 0.559 0.891
0.996 0.922 0.802
0.287 0.357 0.643
0.635 0.276 0.457
0.919 0.715 0.296
0.323 0.073 0.174



No. 9
AcPr4SmEr2 PBE-GGA relaxed; SG = C2/m; electronic total energy = -4.602 eV/atom
1.0
-3.891 -2.334 2.586
0.171 -6.372 -0.220
2.883 -0.320 9.324
Ac Pr Sm Er
1 4 1 2
direct
0.500 0.500 0.500
0.123 0.125 0.630
0.373 0.376 0.878
0.877 0.875 0.370
0.627 0.624 0.122
0.000 0.000 0.000
0.744 0.757 0.756
0.256 0.243 0.244



No. 10
TaFe2Ag PBE-GGA relaxed; SG = Cmmm; electronic total energy = -7.660 eV/atom
1.0
-1.456 -1.662 1.579
1.934 -1.563 -1.092
5.100 1.743 6.540
Ag Fe Ta
1 2 1
direct
0.500 0.500 0.750
0.000 0.000 0.006
0.000 0.000 0.494
0.500 0.500 0.250



No. 11
Ag2Ge2Te PBE-GGA relaxed; SG = I4/mmm; formation energy without anion corrections = 0.25 eV per atom
1.0
4.328 0.000 0.000
0.000 4.328 0.000
2.164 2.164 5.843
Ge Te Ag
2 1 2
direct
0.392 0.392 0.215
0.608 0.608 0.785
0.000 0.000 0.000
0.750 0.250 0.500
0.250 0.750 0.500



No. 12
Ti8In2Bi PBE-GGA relaxed; SG = C2/m; electronic total energy = -6.517 eV/atom
1.0
5.663 0.004 0.003
0.054 7.267 2.166
0.054 4.043 6.415
Ti In Bi
8 2 1
direct
0.368 0.357 0.814
0.632 0.186 0.643
0.112 0.774 0.774
0.888 0.226 0.226
0.368 0.814 0.357
0.632 0.643 0.186
0.899 0.585 0.585
0.101 0.415 0.415
0.622 0.741 0.741
0.378 0.259 0.259
0.000 0.000 0.000



No. 13
La4YRh PBE-GGA relaxed; SG = F-43m; electronic total energy = -5.114 eV/atom
1.0
-2.823 4.768 3.233
1.068 6.095 -1.692
-4.667 3.426 -2.763
La Y Rh
4 1 1
direct
0.866 0.378 0.378
0.378 0.378 0.866
0.378 0.866 0.378
0.378 0.378 0.378
0.000 0.000 0.000
0.750 0.750 0.750



No. 14
Pa2HgPt9 PBE-GGA relaxed; SG = P4/mmm; electronic total energy = -6.891 eV/atom
1.0
-3.154 -2.606 -0.763
2.713 -3.072 -0.722
-0.328 -3.084 11.891
Pa Hg Pt
2 1 9
direct
0.000 0.000 0.326
0.000 0.000 0.674
0.000 0.000 0.000
0.500 0.500 0.000
0.500 0.500 0.334
0.500 0.500 0.666
0.500 0.000 0.170
0.500 0.000 0.500
0.500 0.000 0.830
0.000 0.500 0.170
0.000 0.500 0.500
0.000 0.500 0.830



No. 15
AgBH PBE-GGA relaxed; SG = Pnna; electronic total energy = -3.758 eV/atom
1.0
-4.613 2.278 1.404
-0.879 -4.230 3.976
4.032 4.599 5.784
H B Ag
8 8 8
direct
0.250 0.000 0.706
0.250 0.500 0.794
0.750 0.000 0.294
0.750 0.500 0.206
0.563 0.250 0.250
0.937 0.750 0.250
0.437 0.750 0.750
0.063 0.250 0.750
0.734 0.853 0.179
0.734 0.647 0.321
0.766 0.353 0.321
0.766 0.147 0.179
0.266 0.147 0.821
0.266 0.353 0.679
0.234 0.647 0.679
0.234 0.853 0.821
0.140 0.250 0.073
0.140 0.250 0.427
0.360 0.750 0.427
0.360 0.750 0.073
0.860 0.750 0.927
0.860 0.750 0.573
0.640 0.250 0.573
0.640 0.250 0.927



No. 16
ZnReNi PBE-GGA relaxed; SG = Pm; electronic total energy = -6.475 eV/atom
1.0
-2.276 0.370 1.248
-1.832 -2.793 -2.512
2.096 -5.369 4.440
Zn Re Ni
2 2 2
direct
0.470 0.500 0.676
0.440 0.000 0.483
0.547 0.000 0.114
0.896 0.500 0.306
0.994 0.000 0.797
0.018 0.500 0.972



No. 17
Rb2Nd2RhO6 PBE-GGA relaxed; SG = C2/m; formation energy without anion corrections = -2.00 eV per atom
1.0
-3.766 -3.964 -2.402
0.097 0.731 5.927
-3.619 5.676 -1.521
Rb Nd Rh O
2 2 1 6
direct
0.840 0.160 0.000
0.160 0.840 0.000
0.335 0.665 0.500
0.665 0.335 0.500
0.000 0.000 0.500
0.758 0.758 0.670
0.045 0.347 0.666
0.242 0.242 0.330
0.347 0.045 0.666
0.955 0.653 0.334
0.653 0.955 0.334



No. 18
CsBS2 PBE-GGA relaxed; SG = P1; formation energy without anion corrections = -0.83 eV per atom
1.0
5.830 0.001 -0.001
0.006 9.486 0.003
-1.319 -0.001 5.685
Cs S B
2 4 2
direct
0.191 0.493 0.532
0.697 0.993 0.029
0.813 0.622 0.908
0.321 0.862 0.403
0.566 0.362 0.156
0.074 0.122 0.652
0.197 0.992 0.528
0.689 0.492 0.032



No. 19
Hf3AlAg PBE-GGA relaxed; SG = Pm-3m; electronic total energy = -6.450 eV/atom
1.0
-3.039 -3.161 -2.297
3.520 -0.951 -3.348
1.696 -3.689 2.832
Hf Al Ag
3 1 1
direct
0.000 0.500 0.000
0.000 0.000 0.500
0.500 0.000 0.000
0.000 0.000 0.000
0.500 0.500 0.500



No. 20
NaCdNi2Hg PBE-GGA relaxed; SG = P4/mmm; electronic total energy = -2.049 eV/atom
1.0
-1.639 -3.266 -3.288
4.755 -2.315 -0.070
-1.396 -2.978 3.654
Ni Na Hg Cd
2 1 1 1
direct
0.000 0.000 0.500
0.500 0.000 0.000
0.500 0.500 0.500
0.000 0.000 0.000
0.000 0.500 0.000



No. 21
Tl2InHgH PBE-GGA relaxed; SG = P4/mmm; electronic total energy = -2.028 eV/atom
1.0
4.975 0.000 0.000
0.000 4.975 0.000
0.000 0.000 4.847
H Tl Hg In
1 2 1 1
direct
0.000 0.000 0.000
0.000 0.500 0.000
0.500 0.000 0.000
0.500 0.500 0.500
0.000 0.000 0.500



No. 22
LiHoSiIr PBE-GGA relaxed; SG = F-43m; formation energy without anion corrections = -0.60 eV per atom
1.0
4.523 0.000 0.000
2.262 3.917 0.000
2.262 1.306 3.693
Si Ir Ho Li
1 1 1 1
direct
0.750 0.750 0.750
0.000 0.000 0.000
0.250 0.250 0.250
0.500 0.500 0.500



No. 23
SmPuZnOs PBE-GGA relaxed; SG = F-43m; electronic total energy = -7.943 eV/atom
1.0
4.953 0.000 0.000
2.476 4.289 0.000
2.476 1.430 4.044
Zn Os Sm Pu
1 1 1 1
direct
0.000 0.000 0.000
0.500 0.500 0.500
0.250 0.250 0.250
0.750 0.750 0.750



No. 24
ThFeC PBE-GGA relaxed; SG = Fmm2; electronic total energy = -7.694 eV/atom
1.0
3.309 -0.132 0.000
-1.548 2.927 0.000
-0.880 -1.398 5.355
C Th Fe
1 1 1
direct
0.035 0.035 0.070
0.348 0.348 0.697
0.617 0.617 0.233



No. 25
PuZrUTc PBE-GGA relaxed; SG = F-43m; electronic total energy = -11.063 eV/atom
1.0
-0.124 -1.528 -4.583
3.606 -2.703 -1.744
-0.736 -4.677 -0.969
U Tc Zr Pu
1 1 1 1
direct
0.250 0.250 0.250
0.500 0.500 0.500
0.750 0.750 0.750
0.000 0.000 0.000



No. 26
Ce4CSe3 PBE-GGA relaxed; SG = P2/c; formation energy without anion corrections = -1.39 eV per atom
1.0
6.972 0.033 0.000
-2.413 6.759 0.000
0.000 0.000 8.195
C Se Ce
2 6 8
direct
0.750 0.000 0.873
0.250 0.000 0.127
0.750 0.000 0.375
0.250 0.000 0.625
0.750 0.500 0.623
0.750 0.500 0.124
0.250 0.500 0.377
0.250 0.500 0.876
0.976 0.228 0.649
0.502 0.214 0.893
0.476 0.228 0.351
0.002 0.214 0.107
0.998 0.786 0.893
0.524 0.772 0.649
0.498 0.786 0.107
0.024 0.772 0.351